A geometry-optimized AlSiO2F structure. Source: the Alexandria database, functional PBE.

Results
Crystal system: tetragonal

a b c (Å): 3.7748 3.7748 3.6255
angles (deg): 90.00 90.00 90.00
With the nearest neighbours (Å) after each atom.
Space group P4/mmm (No. 123)
One atom of each set of equivalent atoms:
Al (0.0000, 0.0000, 0.0000)  2 F 1.81, 4 O 1.89
Si (0.5000, 0.5000, 0.5000)  8 O 2.62, 4 F 2.67
O (0.0000, 0.5000, 0.0000)  2 Al 1.89
F (0.0000, 0.0000, 0.5000)  2 Al 1.81

A geometry-optimized La2HoCo9 structure. Source: the Alexandria database, functional PBE.

Results
Crystal system: trigonal
Energy of formation from the pure elements: -0.086 eV per atom

a b c (Å): 4.9806 4.9806 25.2809
angles (deg): 90.00 90.00 120.00
With the nearest neighbours (Å) after each atom.
Space group R-3m (No. 166, hexagonal axes)
One atom of each set of equivalent atoms:
La (0.0000, 0.0000, 0.1396)  12 Co 2.95-3.29, 3 La 3.18
Ho (0.0000, 0.0000, 0.0000)  18 Co 2.88-3.16
Co (0.0000, 0.0000, 0.3325)  6 Co 2.42-2.43
Co (0.0000, 0.0000, 0.5000)  6 Co 2.67, 6 La 2.96
Co (0.0042, 0.5021, 0.0772)  7 Co 2.42-2.67

A geometry-optimized Th4Zn2Ag structure. Source: the Alexandria database, functional PBE.

Results
Crystal system: trigonal
Energy of formation from the pure elements: 0.136 eV per atom

a b c (Å): 4.9942 4.9942 27.5703
angles (deg): 90.00 90.00 120.00
With the nearest neighbours (Å) after each atom.
Space group R-3m (No. 166, hexagonal axes)
One atom of each set of equivalent atoms:
Th (0.0000, 0.0000, 0.1192)  3 Zn 3.16, 3 Ag 3.17
Th (0.0000, 0.0000, 0.2956)  4 Zn 3.04
Zn (0.0000, 0.0000, 0.4057)  1 Ag 2.60
Ag (0.0000, 0.0000, 0.5000)  2 Zn 2.60

A geometry-optimized TbTmBeAu structure. Source: the Alexandria database, functional PBE.

Results
Crystal system: cubic
Energy of formation from the pure elements: -0.344 eV per atom

a b c (Å): 7.0277 7.0277 7.0277
angles (deg): 90.00 90.00 90.00
With the nearest neighbours (Å) after each atom.
Space group F-43m (No. 216)
One atom of each set of equivalent atoms:
Tb (0.0000, 0.0000, 0.0000)  4 Au 3.04, 4 Be 3.04
Tm (0.0000, 0.0000, 0.5000)  4 Be 3.04, 4 Au 3.04
Be (0.2500, 0.2500, 0.2500)  4 Tb 3.04, 4 Tm 3.04
Au (0.2500, 0.2500, 0.7500)  4 Tb 3.04, 4 Tm 3.04

A geometry-optimized AcYSe2 structure. Source: the Alexandria database, functional PBE.

Results
Crystal system: trigonal
Relative energy among the computed polymorphs: 0.75 kcal/mol of atoms

a b c (Å): 4.1520 4.1520 22.5965
angles (deg): 90.00 90.00 120.00
With the nearest neighbours (Å) after each atom.
Space group R3m (No. 160, hexagonal axes)
One atom of each set of equivalent atoms:
Ac (0.0000, 0.0000, 0.0000)  6 Se 3.13-3.25
Y (0.0000, 0.0000, 0.1756)  6 Se 2.85-2.98
Se (0.0000, 0.0000, 0.5773)  3 Y 2.85, 3 Ac 3.13
Se (0.0000, 0.0000, 0.7640)  3 Y 2.98, 3 Ac 3.25

A geometry-optimized Hf2TeBr2 structure. Source: the Alexandria database, functional PBE.

Results
Crystal system: tetragonal
Relative energy among the computed polymorphs: 0.00 kcal/mol of atoms

a b c (Å): 4.9109 4.9109 10.0338
angles (deg): 90.00 90.00 90.00
With the nearest neighbours (Å) after each atom.
Space group I4/mmm (No. 139)
One atom of each set of equivalent atoms:
Hf (0.0000, 0.5000, 0.2500)  4 Br 2.67
Te (0.0000, 0.0000, 0.0000)  8 Hf 3.51, 10 Br 3.56-3.77
Br (0.0000, 0.0000, 0.3545)  4 Hf 2.67, 1 Br 2.92

no.,calculated volume (A^3/atom),VASP energy (eV/atom)
1,10.33,-6.035
2,15.09,-6.618
3,28.36,-4.875
4,21.69,-4.371
5,28.11,-6.164
6,24.20,-5.390